No. 1
## Pr2NiHRh (PBE)

Data for Pr2NiHRh after structural relaxation.

The space group is P2_1/m (No. 11) and the conventional cell measures 5.8396, 4.4096 and 7.9719 Å, with angles of 90.00, 111.25 and 90.00 degrees. The asymmetric unit holds Pr at (0.2056, 0.2500, 0.4346), Pr at (0.2876, 0.7500, 0.0703), Ni at (0.3578, 0.7500, 0.7113), H at (0.3688, 0.7500, 0.5108) and Rh at (0.1645, 0.2500, 0.8020).

As for the electronic total energy: -5.69 eV/atom. As for the volume: 191 Å³ per cell.

=====

No. 2
## Pr2NiH6Rh (PBE)

Data for Pr2NiH6Rh after structural relaxation.

The space group is Fmmm (No. 69) and the conventional cell measures 7.3307, 7.4635 and 7.4806 Å, with angles of 90.00, 90.00 and 90.00 degrees. The asymmetric unit holds Pr at (0.2500, 0.2500, 0.2500), Ni at (0.0000, 0.0000, 0.0000), H at (0.0000, 0.0000, 0.2435), H at (0.0000, 0.2435, 0.0000), H at (0.2445, 0.0000, 0.0000) and Rh at (0.0000, 0.0000, 0.5000).

As for the electronic total energy: -4.78 eV/atom. As for the volume: 409 Å³ per cell.

=====

No. 3
## PrNi2H8Rh (PBE)

Data for PrNi2H8Rh after structural relaxation.

The space group is R-3 (No. 148, hexagonal axes) and the conventional cell measures 4.6068, 4.6068 and 16.0899 Å, with angles of 90.00, 90.00 and 120.00 degrees. The asymmetric unit holds Pr at (0.0000, 0.0000, 0.0000), Ni at (0.0000, 0.0000, 0.2093), H at (0.0000, 0.0000, 0.3075), H at (0.0137, 0.6996, 0.1193) and Rh at (0.0000, 0.0000, 0.5000).

As for the electronic total energy: -4.43 eV/atom. As for the volume: 296 Å³ per cell.

=====

No. 4
## PrNi2H8Ru (PBE)

Data for PrNi2H8Ru after structural relaxation.

The space group is R-3 (No. 148, hexagonal axes) and the conventional cell measures 4.5853, 4.5853 and 16.1422 Å, with angles of 90.00, 90.00 and 120.00 degrees. The asymmetric unit holds Pr at (0.0000, 0.0000, 0.0000), Ni at (0.0000, 0.0000, 0.2119), H at (0.0000, 0.0000, 0.3094), H at (0.0158, 0.3670, 0.7830) and Ru at (0.0000, 0.0000, 0.5000).

As for the electronic total energy: -4.51 eV/atom. As for the volume: 294 Å³ per cell.

=====

No. 5
## Pr2NiH6Ru (PBE)

Data for Pr2NiH6Ru after structural relaxation.

The space group is I4/mmm (No. 139) and the conventional cell measures 5.2422, 5.2422 and 7.4614 Å, with angles of 90.00, 90.00 and 90.00 degrees. The asymmetric unit holds Pr at (0.0000, 0.5000, 0.2500), Ni at (0.0000, 0.0000, 0.0000), H at (0.0000, 0.0000, 0.2532), H at (0.2481, 0.2481, 0.5000) and Ru at (0.0000, 0.0000, 0.5000).

As for the electronic total energy: -4.92 eV/atom. As for the volume: 205 Å³ per cell.

=====

No. 6
## PrNiSbH (PBE)

Data for PrNiSbH after structural relaxation.

The space group is P3m1 (No. 156) and the conventional cell measures 4.3574, 4.3574 and 4.3310 Å, with angles of 90.00, 90.00 and 120.00 degrees. The asymmetric unit holds Pr at (0.0000, 0.0000, 0.0000), Ni at (0.6667, 0.3333, 0.5751), Sb at (0.3333, 0.6667, 0.4879) and H at (0.6667, 0.3333, 0.9400).

As for the electronic total energy: -5.27 eV/atom. As for the volume: 71 Å³ per cell.

=====

No. 7
## PrScNi2H6 (PBE)

Data for PrScNi2H6 after structural relaxation.

The space group is R-3m (No. 166, hexagonal axes) and the conventional cell measures 4.4760, 4.4760 and 16.4722 Å, with angles of 90.00, 90.00 and 120.00 degrees. The asymmetric unit holds Pr at (0.0000, 0.0000, 0.0000), Sc at (0.0000, 0.0000, 0.5000), Ni at (0.0000, 0.0000, 0.2110) and H at (0.0052, 0.5026, 0.0678).

As for the electronic total energy: -4.70 eV/atom. As for the volume: 286 Å³ per cell.

=====

No. 8
## Pr2Si2Ni2H (PBE)

Data for Pr2Si2Ni2H after structural relaxation.

The space group is C2/m (No. 12) and the conventional cell measures 10.6223, 4.0462 and 7.0726 Å, with angles of 90.00, 130.36 and 90.00 degrees. The asymmetric unit holds Pr at (0.0576, 0.0000, 0.3251), Si at (0.1561, 0.5000, 0.1052), Ni at (0.2088, 0.5000, 0.8247) and H at (0.0000, 0.5000, 0.5000).

As for the electronic total energy: -5.71 eV/atom. As for the volume: 232 Å³ per cell.